VASP calculation (PBE-GGA) on Cs4Dy3GaO8 after structural relaxation.

Calculated values
- volume (A^3/atom) = 18.05
- calculated total energy (eV per cell) = -96.11
- formation energy without anion corrections (eV per atom) = -2.26
- N(E_F) (states/eV per atom) = 0.000
- total magnetization (μB per formula unit) = 0.00

Lattice parameters (Å, degrees): 6.978 7.939 6.983 116.08 119.98 90.00
Positions (direct):
Cs 0.500 0.000 0.000
Cs 0.500 0.000 0.500
Cs 0.000 0.000 0.000
Cs 0.000 0.000 0.500
Dy 0.500 0.500 0.000
Dy 0.500 0.500 0.500
Dy 0.000 0.500 0.500
Ga 0.000 0.500 0.000
O 0.212 0.662 0.949
O 0.213 0.662 0.426
O 0.279 0.337 0.558
O 0.738 0.662 0.949
O 0.262 0.338 0.051
O 0.721 0.663 0.442
O 0.787 0.338 0.574
O 0.788 0.338 0.051